# 1
First-principles (PBE-GGA) data for an optimized crystal structure of Sr4CdAu3, as listed in the Alexandria database.

abc: 4.3942 4.8257 11.8600
angles: 90.00 90.00 90.00
Positions (direct):
Sr: 0.0000 0.0000 0.0000
Sr: 0.0000 0.5000 0.2676
Sr: 0.5000 0.0000 0.4814
Sr: 0.5000 0.5000 0.7749
Cd: 0.0000 0.0000 0.7005
Au: 0.0000 0.5000 0.5558
Au: 0.5000 0.0000 0.2075
Au: 0.5000 0.5000 0.0547

Size of the total moment ... 0.00 μB/atom
Final energy ... -2.842 eV/atom
DOS at the Fermi energy ... 5.067 states/eV per cell
E_form ... -0.66 eV per atom

---

# 2
First-principles (PBE-GGA) data for an optimized crystal structure of HfTcRu, as listed in the Alexandria database.

abc: 4.4743 4.4743 5.6226
angles: 90.00 90.00 120.00
Positions (direct):
Hf: 0.0000 0.0000 0.0000
Hf: 0.3333 0.6667 0.6511
Tc: 0.3333 0.6667 0.1696
Tc: 0.6667 0.3333 0.3042
Ru: 0.0000 0.0000 0.5022
Ru: 0.6667 0.3333 0.8218

Size of the total moment ... 0.04 μB/atom
Final energy ... -10.194 eV/atom
DOS at the Fermi energy ... 6.245 states/eV per cell
E_form ... -0.33 eV per atom

---

# 3
First-principles (PBE-GGA) data for an optimized crystal structure of SmPuS2, as listed in the Alexandria database.

abc: 3.8783 3.8783 20.9205
angles: 90.00 90.00 120.00
Positions (direct):
Sm: 0.0000 0.0000 0.0000
Sm: 0.3333 0.6667 0.6667
Sm: 0.6667 0.3333 0.3333
Pu: 0.0000 0.0000 0.1755
Pu: 0.3333 0.6667 0.8422
Pu: 0.6667 0.3333 0.5089
S: 0.0000 0.0000 0.5847
S: 0.0000 0.0000 0.7567
S: 0.3333 0.6667 0.2514
S: 0.3333 0.6667 0.4233
S: 0.6667 0.3333 0.0900
S: 0.6667 0.3333 0.9180

Size of the total moment ... 1.33 μB/atom
Final energy ... -8.635 eV/atom
DOS at the Fermi energy ... 18.494 states/eV per cell
Uncorrected formation energy ... -1.809 eV/atom

---

# 4
First-principles (PBE-GGA) data for an optimized crystal structure of TbDy8Sc6, as listed in the Alexandria database.

abc: 11.9641 11.9641 3.5671
angles: 90.00 90.00 120.00
Positions (direct):
Tb: 0.0000 0.0000 0.0000
Dy: 0.0963 0.3294 0.5000
Dy: 0.2331 0.9037 0.5000
Dy: 0.3294 0.2331 0.5000
Dy: 0.3333 0.6667 0.5000
Dy: 0.6667 0.3333 0.5000
Dy: 0.6706 0.7669 0.5000
Dy: 0.7669 0.0963 0.5000
Dy: 0.9037 0.6706 0.5000
Sc: 0.1135 0.6285 0.0000
Sc: 0.3715 0.4849 0.0000
Sc: 0.4849 0.1135 0.0000
Sc: 0.5151 0.8865 0.0000
Sc: 0.6285 0.5151 0.0000
Sc: 0.8865 0.3715 0.0000

Size of the total moment ... 0.00 μB/atom
Final energy ... -5.096 eV/atom
DOS at the Fermi energy ... 20.939 states/eV per cell
E_form ... 0.20 eV per atom

---

# 5
First-principles (PBE-GGA) data for an optimized crystal structure of CoTcSe2, as listed in the Alexandria database.

abc: 7.9586 3.6389 6.5312
angles: 90.00 95.07 90.00
Positions (direct):
Co: 0.0000 0.0000 0.0000
Co: 0.5000 0.5000 0.0000
Tc: 0.2346 0.5000 0.0677
Tc: 0.7346 0.0000 0.0677
Se: 0.0124 0.5000 0.7914
Se: 0.1739 0.0000 0.3030
Se: 0.5124 0.0000 0.7914
Se: 0.6739 0.5000 0.3030

Size of the total moment ... 0.00 μB/atom
Final energy ... -6.208 eV/atom
DOS at the Fermi energy ... 1.017 states/eV per cell
Uncorrected formation energy ... -0.098 eV/atom

---

# 6
First-principles (PBE-GGA) data for an optimized crystal structure of Fe2ReGeC, as listed in the Alexandria database.

abc: 3.7744 3.7744 4.0748
angles: 90.00 90.00 90.00
Positions (direct):
Fe: 0.0000 0.5000 0.0000
Fe: 0.5000 0.0000 0.0000
Re: 0.0000 0.0000 0.5000
Ge: 0.5000 0.5000 0.5000
C: 0.0000 0.0000 0.0000

Size of the total moment ... 0.14 μB/atom
Final energy ... -8.449 eV/atom
DOS at the Fermi energy ... 5.355 states/eV per cell
E_form ... 0.19 eV per atom

---

# 7
First-principles (PBE-GGA) data for an optimized crystal structure of Ac4TbEr3Se8, as listed in the Alexandria database.

abc: 8.8093 8.8093 8.8093
angles: 55.89 55.89 55.89
Positions (direct):
Ac: 0.0000 0.0000 0.0000
Ac: 0.0000 0.5000 0.5000
Ac: 0.5000 0.0000 0.5000
Ac: 0.5000 0.5000 0.0000
Tb: 0.5000 0.5000 0.5000
Er: 0.0000 0.0000 0.5000
Er: 0.0000 0.5000 0.0000
Er: 0.5000 0.0000 0.0000
Se: 0.2358 0.7403 0.7403
Se: 0.2382 0.2382 0.2382
Se: 0.2597 0.2597 0.7642
Se: 0.2597 0.7642 0.2597
Se: 0.7403 0.2358 0.7403
Se: 0.7403 0.7403 0.2358
Se: 0.7618 0.7618 0.7618
Se: 0.7642 0.2597 0.2597

Size of the total moment ... 0.00 μB/atom
Final energy ... -5.699 eV/atom
DOS at the Fermi energy ... 6.901 states/eV per cell
Uncorrected formation energy ... -1.785 eV/atom

---

# 8
First-principles (PBE-GGA) data for an optimized crystal structure of AlTcSb, as listed in the Alexandria database.

abc: 6.1844 6.1844 6.1844
angles: 90.00 90.00 90.00
Positions (direct):
Al: 0.0149 0.0149 0.0149
Al: 0.4851 0.9851 0.5149
Al: 0.5149 0.4851 0.9851
Al: 0.9851 0.5149 0.4851
Tc: 0.2296 0.2704 0.7296
Tc: 0.2704 0.7296 0.2296
Tc: 0.7296 0.2296 0.2704
Tc: 0.7704 0.7704 0.7704
Sb: 0.0157 0.9843 0.4843
Sb: 0.4843 0.0157 0.9843
Sb: 0.5157 0.5157 0.5157
Sb: 0.9843 0.4843 0.0157

Size of the total moment ... 0.00 μB/atom
Final energy ... -5.998 eV/atom
DOS at the Fermi energy ... 8.272 states/eV per cell
Uncorrected formation energy ... 0.079 eV/atom

---

# 9
First-principles (PBE-GGA) data for an optimized crystal structure of CrIrRu, as listed in the Alexandria database.

abc: 2.6874 18.1397 3.8353
angles: 90.00 90.00 90.00
Positions (direct):
Cr: 0.0000 0.1530 0.2500
Cr: 0.0000 0.8470 0.7500
Cr: 0.5000 0.3470 0.7500
Cr: 0.5000 0.6530 0.2500
Ir: 0.0000 0.4572 0.7500
Ir: 0.0000 0.5428 0.2500
Ir: 0.5000 0.0428 0.2500
Ir: 0.5000 0.9572 0.7500
Ru: 0.0000 0.2942 0.2500
Ru: 0.0000 0.7058 0.7500
Ru: 0.5000 0.2058 0.7500
Ru: 0.5000 0.7942 0.2500

Size of the total moment ... 0.00 μB/atom
Final energy ... -8.850 eV/atom
DOS at the Fermi energy ... 13.414 states/eV per cell
E_form ... 0.40 eV per atom

---

# 10
First-principles (PBE-GGA) data for an optimized crystal structure of LiPr2Ti, as listed in the Alexandria database.

abc: 3.5127 3.5127 8.9216
angles: 90.00 90.00 90.00
Positions (direct):
Li: 0.0000 0.0000 0.0000
Pr: 0.5000 0.5000 0.2667
Pr: 0.5000 0.5000 0.7333
Ti: 0.0000 0.0000 0.5000

Size of the total moment ... 0.00 μB/atom
Final energy ... -4.642 eV/atom
DOS at the Fermi energy ... 5.126 states/eV per cell
E_form ... 0.20 eV per atom

---

# 11
First-principles (PBE-GGA) data for an optimized crystal structure of RbLiWSe4, as listed in the Alexandria database.

abc: 6.2446 7.7891 9.9300
angles: 90.00 107.00 90.00
Positions (direct):
Rb: 0.2129 0.2500 0.3855
Rb: 0.7871 0.7500 0.6145
Li: 0.1772 0.2500 0.8203
Li: 0.8228 0.7500 0.1797
W: 0.3370 0.7500 0.2107
W: 0.6630 0.2500 0.7893
Se: 0.0503 0.7500 0.9997
Se: 0.1784 0.7500 0.3996
Se: 0.4397 0.0065 0.7798
Se: 0.4397 0.4935 0.7798
Se: 0.5603 0.5065 0.2202
Se: 0.5603 0.9935 0.2202
Se: 0.8216 0.2500 0.6004
Se: 0.9497 0.2500 0.0003

Size of the total moment ... 0.00 μB/atom
Final energy ... -5.010 eV/atom
Uncorrected formation energy ... -0.757 eV/atom

---

# 12
First-principles (PBE-GGA) data for an optimized crystal structure of CsNi3Cl, as listed in the Alexandria database.

abc: 4.5097 4.5097 4.5097
angles: 90.00 90.00 90.00
Positions (direct):
Cs: 0.0000 0.0000 0.0000
Ni: 0.0000 0.5000 0.5000
Ni: 0.5000 0.0000 0.5000
Ni: 0.5000 0.5000 0.0000
Cl: 0.5000 0.5000 0.5000

Size of the total moment ... 0.00 μB/atom
Final energy ... -3.178 eV/atom
DOS at the Fermi energy ... 2.704 states/eV per cell
Uncorrected formation energy ... 0.830 eV/atom

---

# 13
First-principles (PBE-GGA) data for an optimized crystal structure of Tl8CdSn2, as listed in the Alexandria database.

abc: 8.7751 8.7751 8.1724
angles: 113.46 113.46 35.24
Positions (direct):
Tl: 0.0603 0.0603 0.2250
Tl: 0.1280 0.1280 0.6753
Tl: 0.3139 0.3139 0.5681
Tl: 0.4125 0.4125 0.0553
Tl: 0.5875 0.5875 0.9447
Tl: 0.6861 0.6861 0.4319
Tl: 0.8720 0.8720 0.3247
Tl: 0.9397 0.9397 0.7750
Cd: 0.5000 0.5000 0.5000
Sn: 0.2300 0.2300 0.1086
Sn: 0.7700 0.7700 0.8914

Size of the total moment ... 0.00 μB/atom
Final energy ... -2.496 eV/atom
DOS at the Fermi energy ... 4.735 states/eV per cell
E_form ... 0.04 eV per atom

---

# 14
First-principles (PBE-GGA) data for an optimized crystal structure of Tb8ZnC4, as listed in the Alexandria database.

abc: 9.0144 9.0144 12.2044
angles: 131.69 131.69 23.29
Positions (direct):
Tb: 0.0000 0.0000 0.0000
Tb: 0.0173 0.0173 0.7377
Tb: 0.0537 0.0537 0.4575
Tb: 0.3156 0.3156 0.6769
Tb: 0.4030 0.4030 0.1287
Tb: 0.6649 0.6649 0.3481
Tb: 0.7013 0.7013 0.0677
Tb: 0.7185 0.7185 0.8055
Zn: 0.3592 0.3592 0.4022
C: 0.0318 0.0318 0.2349
C: 0.2076 0.2076 0.9341
C: 0.5109 0.5109 0.8713
C: 0.6869 0.6869 0.5707

Size of the total moment ... 0.00 μB/atom
Final energy ... -5.978 eV/atom
DOS at the Fermi energy ... 10.972 states/eV per cell
E_form ... -0.19 eV per atom

---

# 15
First-principles (PBE-GGA) data for an optimized crystal structure of Pm2Co3Ge4Ru, as listed in the Alexandria database.

abc: 4.1807 4.1807 9.6232
angles: 90.00 90.00 90.00
Positions (direct):
Pm: 0.0000 0.5000 0.2472
Pm: 0.5000 0.0000 0.7528
Co: 0.0000 0.5000 0.8783
Co: 0.5000 0.0000 0.1217
Co: 0.5000 0.5000 0.5000
Ge: 0.0000 0.0000 0.0000
Ge: 0.0000 0.5000 0.6319
Ge: 0.5000 0.0000 0.3681
Ge: 0.5000 0.5000 0.0000
Ru: 0.0000 0.0000 0.5000

Size of the total moment ... 0.00 μB/atom
Final energy ... -6.435 eV/atom
DOS at the Fermi energy ... 5.473 states/eV per cell
E_form ... -0.58 eV per atom

---

# 16
First-principles (PBE-GGA) data for an optimized crystal structure of Tb2TmZn, as listed in the Alexandria database.

abc: 5.3258 5.3258 3.7727
angles: 90.00 90.00 90.00
Positions (direct):
Tb: 0.0000 0.5000 0.0000
Tb: 0.5000 0.0000 0.0000
Tm: 0.0000 0.0000 0.5000
Zn: 0.5000 0.5000 0.5000

Size of the total moment ... 0.00 μB/atom
Final energy ... -3.762 eV/atom
DOS at the Fermi energy ... 4.302 states/eV per cell
E_form ... -0.01 eV per atom